Record 1
# PBE Cu5Pb3O12, optimized geometry
# Density, g cm⁻³: 7.68
# Formation energy from raw total energies, eV per atom: -0.597
# Crystal system: cubic
data_Cu5Pb3O12
_chemical_formula_sum 'Cu20 Pb12 O48'
_symmetry_space_group_name_H-M 'P 1'
_symmetry_Int_Tables_number 1
_symmetry_space_group_name_Hall 'P 1'
_cell_length_a 10.830
_cell_length_b 10.830
_cell_length_c 10.830
_cell_angle_alpha 109.47
_cell_angle_beta 109.47
_cell_angle_gamma 109.47
loop_
_atom_site_label
_atom_site_fract_x
_atom_site_fract_y
_atom_site_fract_z
_atom_site_occupancy
Pb1 0.750 0.375 0.125 1
Pb2 0.875 0.750 0.125 1
Pb3 0.375 0.750 0.625 1
Pb4 0.250 0.125 0.375 1
Pb5 0.875 0.125 0.250 1
Pb6 0.375 0.625 0.250 1
Pb7 0.625 0.375 0.750 1
Pb8 0.125 0.875 0.750 1
Pb9 0.750 0.875 0.625 1
Pb10 0.625 0.250 0.375 1
Pb11 0.125 0.250 0.875 1
Pb12 0.250 0.625 0.875 1
Cu1 0.125 0.375 0.250 1
Cu2 0.000 0.500 0.000 1
Cu3 0.000 0.000 0.000 1
Cu4 0.375 0.250 0.125 1
Cu5 0.500 0.000 0.500 1
Cu6 0.500 0.500 0.000 1
Cu7 0.125 0.750 0.375 1
Cu8 0.750 0.125 0.875 1
Cu9 0.750 0.625 0.375 1
Cu10 0.375 0.125 0.750 1
Cu11 0.625 0.875 0.250 1
Cu12 0.500 0.500 0.500 1
Cu13 0.500 0.000 0.000 1
Cu14 0.000 0.000 0.500 1
Cu15 0.250 0.375 0.625 1
Cu16 0.250 0.875 0.125 1
Cu17 0.000 0.500 0.500 1
Cu18 0.875 0.250 0.625 1
Cu19 0.625 0.750 0.875 1
Cu20 0.875 0.625 0.750 1
O1 0.699 0.129 0.026 1
O2 0.326 0.526 0.397 1
O3 0.974 0.371 0.301 1
O4 0.526 0.199 0.129 1
O5 0.571 0.699 0.674 1
O6 0.974 0.603 0.174 1
O7 0.326 0.801 0.429 1
O8 0.103 0.929 0.129 1
O9 0.603 0.974 0.674 1
O10 0.699 0.571 0.174 1
O11 0.801 0.474 0.371 1
O12 0.826 0.897 0.026 1
O13 0.129 0.699 0.526 1
O14 0.371 0.397 0.071 1
O15 0.071 0.897 0.371 1
O16 0.429 0.129 0.603 1
O17 0.071 0.174 0.199 1
O18 0.474 0.674 0.103 1
O19 0.826 0.929 0.301 1
O20 0.129 0.429 0.103 1
O21 0.371 0.974 0.801 1
O22 0.603 0.629 0.429 1
O23 0.897 0.826 0.526 1
O24 0.801 0.326 0.929 1
O25 0.397 0.371 0.571 1
O26 0.103 0.174 0.474 1
O27 0.199 0.674 0.071 1
O28 0.174 0.071 0.699 1
O29 0.629 0.026 0.199 1
O30 0.871 0.571 0.897 1
O31 0.526 0.326 0.897 1
O32 0.571 0.871 0.397 1
O33 0.929 0.826 0.801 1
O34 0.929 0.103 0.629 1
O35 0.871 0.301 0.474 1
O36 0.174 0.103 0.974 1
O37 0.629 0.603 0.929 1
O38 0.397 0.026 0.326 1
O39 0.301 0.429 0.826 1
O40 0.199 0.526 0.629 1
O41 0.897 0.071 0.871 1
O42 0.674 0.199 0.571 1
O43 0.474 0.801 0.871 1
O44 0.026 0.397 0.826 1
O45 0.429 0.301 0.326 1
O46 0.026 0.629 0.699 1
O47 0.674 0.474 0.603 1
O48 0.301 0.871 0.974 1

---

Record 2
# PBE CuPbO3, optimized geometry
# Density, g cm⁻³: 7.73
# Formation energy from raw total energies, eV per atom: -0.599
# Crystal system: trigonal
data_CuPbO3
_chemical_formula_sum 'Cu2 Pb2 O6'
_symmetry_space_group_name_H-M 'P 1'
_symmetry_Int_Tables_number 1
_symmetry_space_group_name_Hall 'P 1'
_cell_length_a 5.537
_cell_length_b 5.537
_cell_length_c 6.067
_cell_angle_alpha 62.85
_cell_angle_beta 62.85
_cell_angle_gamma 60.00
loop_
_atom_site_label
_atom_site_fract_x
_atom_site_fract_y
_atom_site_fract_z
_atom_site_occupancy
Cu1 0.750 0.750 0.750 1
Cu2 0.250 0.250 0.250 1
Pb1 0.000 0.000 0.000 1
Pb2 0.500 0.500 0.500 1
O1 0.250 0.586 0.250 1
O2 0.414 0.086 0.750 1
O3 0.086 0.750 0.750 1
O4 0.914 0.250 0.250 1
O5 0.586 0.914 0.250 1
O6 0.750 0.414 0.750 1

---

no.,spin magnetization (μB/cell)
1,0.00
2,2.09